[1]
A relaxed structure of Na3Mn4TlI12, computed with PBE.

Its density of states at the Fermi level is 0.0 states/eV per cell. The value obtained for the formation energy from raw total energies is -0.603 eV/atom.

```
data_Na3Mn4TlI12
_cell_length_a 10.3088
_cell_length_b 10.3088
_cell_length_c 10.3088
_cell_angle_alpha 105.68
_cell_angle_beta 105.68
_cell_angle_gamma 105.68
_space_group_name_H-M_alt 'P 1'
_space_group_IT_number 1
_space_group_name_Hall 'P 1'
loop_
_atom_site_label
_atom_site_type_symbol
_atom_site_fract_x
_atom_site_fract_y
_atom_site_fract_z
_atom_site_occupancy
I1 I 0.3414 0.6586 0.5000 1
I2 I 0.6656 0.7865 0.0461 1
I3 I 0.9539 0.2135 0.3344 1
I4 I 0.5000 0.3414 0.6586 1
I5 I 0.9008 0.5000 0.0992 1
I6 I 0.3344 0.9539 0.2135 1
I7 I 0.0992 0.9008 0.5000 1
I8 I 0.2135 0.3344 0.9539 1
I9 I 0.7865 0.0461 0.6656 1
I10 I 0.0461 0.6656 0.7865 1
I11 I 0.6586 0.5000 0.3414 1
I12 I 0.5000 0.0992 0.9008 1
Na1 Na 0.5529 0.4471 0.0000 1
Na2 Na 0.4471 0.0000 0.5529 1
Na3 Na 0.0000 0.5529 0.4471 1
Mn1 Mn 0.5000 0.9403 0.0597 1
Mn2 Mn 0.5000 0.5000 0.5000 1
Mn3 Mn 0.9403 0.0597 0.5000 1
Mn4 Mn 0.0597 0.5000 0.9403 1
Tl1 Tl 0.0000 0.0000 0.0000 1
```



[2]
A relaxed structure of CsYHgSe3, computed with PBE.

The value obtained for the formation energy from raw total energies is -1.221 eV/atom.

```
data_CsYHgSe3
_cell_length_a 4.3133
_cell_length_b 9.4887
_cell_length_c 10.6528
_cell_angle_alpha 110.84
_cell_angle_beta 90.00
_cell_angle_gamma 90.00
_space_group_name_H-M_alt 'P 1'
_space_group_IT_number 1
_space_group_name_Hall 'P 1'
loop_
_atom_site_label
_atom_site_type_symbol
_atom_site_fract_x
_atom_site_fract_y
_atom_site_fract_z
_atom_site_occupancy
Se1 Se 0.2500 0.1211 0.8732 1
Se2 Se 0.7500 0.4734 0.1476 1
Se3 Se 0.7500 0.8789 0.1268 1
Se4 Se 0.2500 0.5266 0.8524 1
Se5 Se 0.2500 0.7729 0.4453 1
Se6 Se 0.7500 0.2271 0.5547 1
Cs1 Cs 0.7500 0.7754 0.7504 1
Cs2 Cs 0.2500 0.2246 0.2496 1
Hg1 Hg 0.2500 0.0872 0.6174 1
Hg2 Hg 0.7500 0.9128 0.3826 1
Y1 Y 0.2500 0.6693 0.1338 1
Y2 Y 0.7500 0.3307 0.8662 1
```



[3]
A relaxed structure of TlAgSbS3, computed with PBE.

Its density of states at the Fermi level is 6.3 states/eV per cell. The value obtained for the formation energy from raw total energies is -0.163 eV/atom.

```
data_TlAgSbS3
_cell_length_a 3.9183
_cell_length_b 7.1435
_cell_length_c 10.7118
_cell_angle_alpha 90.00
_cell_angle_beta 90.00
_cell_angle_gamma 105.92
_space_group_name_H-M_alt 'P 1'
_space_group_IT_number 1
_space_group_name_Hall 'P 1'
loop_
_atom_site_label
_atom_site_type_symbol
_atom_site_fract_x
_atom_site_fract_y
_atom_site_fract_z
_atom_site_occupancy
Sb1 Sb 0.0000 0.0000 0.5000 1
Sb2 Sb 0.0000 0.0000 0.0000 1
S1 S 0.9739 0.9477 0.2500 1
S2 S 0.3658 0.7316 0.9765 1
S3 S 0.6342 0.2684 0.4765 1
S4 S 0.6342 0.2684 0.0235 1
S5 S 0.3658 0.7316 0.5235 1
S6 S 0.0261 0.0523 0.7500 1
Tl1 Tl 0.6988 0.3976 0.7500 1
Tl2 Tl 0.3012 0.6024 0.2500 1
Ag1 Ag 0.3792 0.7585 0.7500 1
Ag2 Ag 0.6208 0.2415 0.2500 1
```



[4]
A relaxed structure of Tc2OsPb, computed with PBE.

The formation energy is 0.611 eV/atom. Its density of states at the Fermi level is 3.5 states/eV per cell.

```
data_Tc2OsPb
_cell_length_a 9.4140
_cell_length_b 9.4140
_cell_length_c 9.4140
_cell_angle_alpha 17.82
_cell_angle_beta 17.82
_cell_angle_gamma 17.82
_space_group_name_H-M_alt 'P 1'
_space_group_IT_number 1
_space_group_name_Hall 'P 1'
loop_
_atom_site_label
_atom_site_type_symbol
_atom_site_fract_x
_atom_site_fract_y
_atom_site_fract_z
_atom_site_occupancy
Os1 Os 0.5092 0.5092 0.5092 1
Tc1 Tc 0.2501 0.2501 0.2501 1
Tc2 Tc 0.9915 0.9915 0.9915 1
Pb1 Pb 0.7492 0.7492 0.7492 1
```



[5]
A relaxed structure of CsRb2Pt, computed with PBE.

The formation energy is 0.218 eV/atom. Its density of states at the Fermi level is 4.1 states/eV per cell. The energy above the most stable polymorph in this dataset is 0.0000 eV per atom.

```
data_CsRb2Pt
_cell_length_a 6.1497
_cell_length_b 6.1497
_cell_length_c 6.1497
_cell_angle_alpha 60.00
_cell_angle_beta 60.00
_cell_angle_gamma 60.00
_space_group_name_H-M_alt 'P 1'
_space_group_IT_number 1
_space_group_name_Hall 'P 1'
loop_
_atom_site_label
_atom_site_type_symbol
_atom_site_fract_x
_atom_site_fract_y
_atom_site_fract_z
_atom_site_occupancy
Cs1 Cs 0.0000 0.0000 0.0000 1
Rb1 Rb 0.7500 0.7500 0.7500 1
Rb2 Rb 0.2500 0.2500 0.2500 1
Pt1 Pt 0.5000 0.5000 0.5000 1
```